No. 1
# SrTm2In2Hg2

An optimized crystal structure of SrTm2In2Hg2 (PBE, Alexandria via LeMat-Bulk).

Values from the calculation:
For the volume, the calculation gives 29.10 Å³ per atom. As for the total energy: -19.01 eV/cell. The symmetry is No. 166.

Structure (POSCAR):
```
SrTm2In2Hg2
1.0
-4.0636 -1.9978 2.1113
-2.3481 -3.8129 -2.2159
3.3008 -8.0222 4.6736
Sr Tm In Hg
1 2 2 2
direct
0.0000 0.0000 0.0000 Sr
0.1345 0.1345 0.5964 Tm
0.8655 0.8655 0.4036 Tm
0.7439 0.7439 0.7683 In
0.2561 0.2561 0.2317 In
0.5610 0.5610 0.3171 Hg
0.4390 0.4390 0.6829 Hg
```

***

No. 2
# SrTmInHg

An optimized crystal structure of SrTmInHg (PBE, Alexandria via LeMat-Bulk).

Values from the calculation:
For the volume, the calculation gives 28.85 Å³ per atom. As for the total energy: -10.81 eV/cell. The symmetry is No. 216.

Structure (POSCAR):
```
SrTmInHg
1.0
5.4650 0.0000 0.0000
2.7325 4.7328 0.0000
2.7325 1.5776 4.4621
Sr Tm Hg In
1 1 1 1
direct
0.7500 0.7500 0.7500 Sr
0.2500 0.2500 0.2500 Tm
0.5000 0.5000 0.5000 Hg
0.0000 0.0000 0.0000 In
```

***

Q: Number 1 is which compound?
A: SrTm2In2Hg2